! ScAlAg3, single point on PBEsol structure, DFT SCAN; values from VASP
&SYSTEM
  ibrav = 0, nat = 5, ntyp = 3
/
ATOMIC_SPECIES
Ag 107.87 Ag.upf
Al 26.98 Al.upf
Sc 44.96 Sc.upf
ATOMIC_POSITIONS crystal
Ag 0.000 0.500 0.000
Al 0.000 0.000 0.000
Ag 0.500 0.000 0.000
Sc 0.500 0.500 0.500
Ag 0.000 0.000 0.500
CELL_PARAMETERS angstrom
4.700 0.000 0.000
0.000 4.700 0.000
0.000 0.000 4.700
! Energy of formation from the pure elements = 0.24 eV per atom

***

! TaZn2Si, single point on PBEsol structure, DFT SCAN; values from VASP
&SYSTEM
  ibrav = 0, nat = 4, ntyp = 3
/
ATOMIC_SPECIES
Zn 65.41 Zn.upf
Ta 180.95 Ta.upf
Si 28.09 Si.upf
ATOMIC_POSITIONS crystal
Zn 0.000 0.000 0.752
Ta 0.500 0.500 0.000
Si 0.500 0.500 0.500
Zn 0.000 0.000 0.248
CELL_PARAMETERS angstrom
2.719 -0.016 0.000
-0.122 2.716 0.000
0.000 0.000 8.367
! Formation energy without anion corrections = 0.24 eV per atom

***

! ThTl3, single point on PBEsol structure, DFT SCAN; values from VASP
&SYSTEM
  ibrav = 0, nat = 4, ntyp = 2
/
ATOMIC_SPECIES
Th 232.04 Th.upf
Tl 204.38 Tl.upf
ATOMIC_POSITIONS crystal
Th 0.000 0.000 0.000
Tl 0.500 0.000 0.500
Tl 0.500 0.500 0.000
Tl 0.000 0.500 0.500
CELL_PARAMETERS angstrom
4.735 0.000 0.000
0.000 4.735 0.000
0.000 0.000 4.735
! Energy of formation from the pure elements = -0.25 eV per atom

***

! Ac2NiIr, single point on PBEsol structure, DFT SCAN; values from VASP
&SYSTEM
  ibrav = 0, nat = 4, ntyp = 3
/
ATOMIC_SPECIES
Ac 227.00 Ac.upf
Ni 58.69 Ni.upf
Ir 192.22 Ir.upf
ATOMIC_POSITIONS crystal
Ac 0.250 0.250 0.250
Ni 0.000 0.000 0.000
Ir 0.500 0.500 0.500
Ac 0.750 0.750 0.750
CELL_PARAMETERS angstrom
-4.841 0.805 1.535
-2.763 -3.881 1.936
-1.157 -0.083 5.010
! Energy of formation from the pure elements = -0.35 eV per atom

***

! SrGe2, single point on PBEsol structure, DFT SCAN; values from VASP
&SYSTEM
  ibrav = 0, nat = 3, ntyp = 2
/
ATOMIC_SPECIES
Ge 72.64 Ge.upf
Sr 87.62 Sr.upf
ATOMIC_POSITIONS crystal
Ge 0.333 0.667 0.404
Ge 0.667 0.333 0.596
Sr 0.000 0.000 0.000
CELL_PARAMETERS angstrom
-1.340 2.483 -2.985
3.145 -2.546 -0.703
-3.237 -3.578 -1.523
! Energy of formation from the pure elements = -0.55 eV per atom

***

! CoNi3Cl, single point on PBEsol structure, DFT SCAN; values from VASP
&SYSTEM
  ibrav = 0, nat = 5, ntyp = 3
/
ATOMIC_SPECIES
Ni 58.69 Ni.upf
Cl 35.45 Cl.upf
Co 58.93 Co.upf
ATOMIC_POSITIONS crystal
Ni 0.500 0.000 0.000
Ni 0.000 0.000 0.500
Cl 0.500 0.500 0.500
Ni 0.000 0.500 0.000
Co 0.000 0.000 0.000
CELL_PARAMETERS angstrom
4.265 0.000 0.000
0.000 4.265 0.000
0.000 0.000 4.265
! Distance to the lowest polymorph of the same formula = 385 meV per atom
! Formation energy without anion corrections = 1.11 eV per atom